DFT (PBE) results for a relaxed DyIn3Pd4 crystal.

**Density of states at the Fermi level**: 3.5 states/eV/f.u.
**Crystal system**: tetragonal
**Total DFT energy (no corrections)**: -4.843 eV per atom
**Formation enthalpy at 0 K**: -644.5 meV per atom

Lattice parameters (Å, degrees): 4.687 4.687 6.852 90.00 90.00 90.00
Sites, in units of the cell vectors:
Dy 0.000 0.000 0.000
In 0.000 0.000 0.500
In 0.500 0.500 0.000
In 0.500 0.500 0.500
Pd 0.000 0.500 0.263
Pd 0.000 0.500 0.737
Pd 0.500 0.000 0.263
Pd 0.500 0.000 0.737